# 1
{"formula": "CaMoP", "functional": "PBE", "state": "relaxed", "lattice": [[3.8742, 0.0000, 0.0000], [0.0000, 3.8742, 0.0000], [0.0000, 0.0000, 8.7879]], "species": ["Ca", "Ca", "Mo", "Mo", "P", "P"], "fractional_positions": [[0.2500, 0.2500, 0.1780], [0.7500, 0.7500, 0.8220], [0.2500, 0.7500, 0.5000], [0.7500, 0.2500, 0.5000], [0.2500, 0.2500, 0.6821], [0.7500, 0.7500, 0.3179]], "total_magnetization_mub_per_cell": 0.0, "delta_e_f_ev_per_atom": -0.596, "de_polymorph_ev_per_atom": 0.000}

# 2
{"formula": "ScSi2Ru", "functional": "PBE", "state": "relaxed", "lattice": [[3.8991, 0.0000, 0.0000], [0.0000, 3.8991, 0.0000], [0.0000, 0.0000, 3.8823]], "species": ["Sc", "Si", "Si", "Ru"], "fractional_positions": [[0.0000, 0.0000, 0.0000], [0.0000, 0.5000, 0.5000], [0.5000, 0.0000, 0.5000], [0.5000, 0.5000, 0.0000]], "total_magnetization_mub_per_cell": 0.0, "formation_energy_uncorrected_ev_per_atom": -0.43}

# 3
{"formula": "ScZnCrBr2", "functional": "PBE", "state": "relaxed", "lattice": [[5.1259, 0.0000, 0.0000], [0.0000, 5.1259, 0.0000], [0.0000, 0.0000, 5.4375]], "species": ["Sc", "Zn", "Cr", "Br", "Br"], "fractional_positions": [[0.0000, 0.0000, 0.0000], [0.0000, 0.0000, 0.5000], [0.5000, 0.5000, 0.0000], [0.0000, 0.5000, 0.5000], [0.5000, 0.0000, 0.5000]], "total_magnetization_mub_per_cell": 5.1, "formation_energy_uncorrected_ev_per_atom": 0.56}

# 4
{"formula": "EuGe", "functional": "PBE", "state": "relaxed", "lattice": [[2.3169, -5.6007, 0.0000], [2.3169, 5.6007, 0.0000], [0.0000, 0.0000, 4.0988]], "species": ["Eu", "Eu", "Ge", "Ge"], "fractional_positions": [[0.1390, 0.8610, 0.7500], [0.8610, 0.1390, 0.2500], [0.4269, 0.5731, 0.7500], [0.5731, 0.4269, 0.2500]], "total_magnetization_mub_per_cell": 14.3, "delta_e_f_ev_per_atom": -0.710}

# 5
{"formula": "CaScPt2", "functional": "PBE", "state": "relaxed", "lattice": [[4.3184, 0.0000, 0.0000], [0.0000, 1.8439, 5.2349], [0.0000, -1.8439, 5.2349]], "species": ["Ca", "Sc", "Pt", "Pt"], "fractional_positions": [[0.0000, 0.0000, 0.0000], [0.5000, 0.2809, 0.2809], [0.0000, 0.7312, 0.7312], [0.5000, 0.5632, 0.5632]], "total_magnetization_mub_per_cell": 0.0, "delta_e_f_ev_per_atom": -0.984}

# 6
{"formula": "Ca2In5AgPd2", "functional": "PBE", "state": "relaxed", "lattice": [[10.3301, 0.0000, 0.0000], [0.0000, 10.3301, 0.0000], [0.0000, 0.0000, 4.3064]], "species": ["Ca", "Ca", "Ca", "Ca", "In", "In", "In", "In", "In", "In", "In", "In", "In", "In", "Ag", "Ag", "Pd", "Pd", "Pd", "Pd"], "fractional_positions": [[0.1789, 0.3211, 0.0000], [0.3211, 0.8211, 0.0000], [0.6789, 0.1789, 0.0000], [0.8211, 0.6789, 0.0000], [0.0000, 0.5000, 0.5000], [0.0631, 0.7971, 0.5000], [0.2029, 0.0631, 0.5000], [0.2971, 0.5631, 0.5000], [0.4369, 0.2971, 0.5000], [0.5000, 0.0000, 0.5000], [0.5631, 0.7029, 0.5000], [0.7029, 0.4369, 0.5000], [0.7971, 0.9369, 0.5000], [0.9369, 0.2029, 0.5000], [0.0000, 0.0000, 0.0000], [0.5000, 0.5000, 0.0000], [0.1181, 0.6181, 0.0000], [0.3819, 0.1181, 0.0000], [0.6181, 0.8819, 0.0000], [0.8819, 0.3819, 0.0000]], "total_magnetization_mub_per_cell": 0.0, "delta_e_f_ev_per_atom": -0.445}

# 7
{"formula": "TaPdPt", "functional": "PBE", "state": "relaxed", "lattice": [[4.2700, -2.3880, 0.0000], [4.2700, 2.3880, 0.0000], [-2.5959, 0.0000, 4.8196]], "species": ["Ta", "Ta", "Pd", "Pd", "Pt", "Pt"], "fractional_positions": [[0.1793, 0.1793, 0.2467], [0.8207, 0.8207, 0.7533], [0.4989, 0.4989, 0.7526], [0.5011, 0.5011, 0.2474], [0.1599, 0.1599, 0.7271], [0.8401, 0.8401, 0.2729]], "total_magnetization_mub_per_cell": 0.0, "delta_e_f_ev_per_atom": -0.488, "de_polymorph_ev_per_atom": 0.000}

# 8
{"formula": "Rb3UV2Te6", "functional": "PBE", "state": "relaxed", "lattice": [[3.7083, -6.4167, 0.0000], [3.7083, 6.4167, 0.0000], [-2.4788, 0.0000, 8.4960]], "species": ["Rb", "Rb", "Rb", "U", "V", "V", "Te", "Te", "Te", "Te", "Te", "Te"], "fractional_positions": [[0.0000, 0.0000, 0.0000], [0.3390, 0.6610, 0.0000], [0.6610, 0.3390, 0.0000], [0.5000, 0.5000, 0.5000], [0.1672, 0.8328, 0.5000], [0.8328, 0.1672, 0.5000], [0.0829, 0.4383, 0.3152], [0.2054, 0.2054, 0.6828], [0.4383, 0.0829, 0.3152], [0.5617, 0.9171, 0.6848], [0.7946, 0.7946, 0.3172], [0.9171, 0.5617, 0.6848]], "total_magnetization_mub_per_cell": 7.0, "formation_energy_uncorrected_ev_per_atom": -0.69}

| no. | D(E_F) (states/eV/f.u.) | calculated density (Mg/m³) |
| --- | --- | --- |
| 1 | 2.7 | 4.205 |
| 2 | 2.6 | 5.688 |
| 3 | 2.2 | 3.745 |
| 4 | 7.7 | 7.012 |
| 5 | 1.9 | 9.465 |
| 6 | 4.4 | 7.046 |
| 7 | 1.8 | 16.301 |
| 8 | 3.2 | 5.593 |